Density functional theory data (PBE) for Ag3O2 after structural relaxation.

a = 10.914 Å, b = 10.455 Å, c = 5.591 Å
α = 79.43°, β = 70.33°, γ = 30.24°
Fractional positions:
Ag: 0.026 0.546 0.196
Ag: 0.101 0.649 0.649
Ag: 0.196 0.732 0.026
Ag: 0.268 0.804 0.454
Ag: 0.351 0.899 0.899
Ag: 0.454 0.974 0.268
Ag: 0.546 0.026 0.732
Ag: 0.649 0.101 0.101
Ag: 0.732 0.196 0.546
Ag: 0.804 0.268 0.974
Ag: 0.899 0.351 0.351
Ag: 0.974 0.454 0.804
O: 0.107 0.107 0.643
O: 0.282 0.282 0.468
O: 0.357 0.357 0.893
O: 0.468 0.468 0.282
O: 0.532 0.532 0.718
O: 0.643 0.643 0.107
O: 0.718 0.718 0.532
O: 0.893 0.893 0.357

Summary:
- energy relative to the elements, uncorrected (eV/atom) = 0.01
- magnetization (μB/f.u.) = 0.0
- distance to the lowest polymorph of the same formula (eV/atom) = 0.000
- SG = No. 70